(1)
A geometry-optimized Cu2HBr5 structure, computed with PBE.

Cell: 10.493 10.493 4.144 Å, 99.73 99.73 36.80°
Atoms (fractional coordinates):
Cu (0.000, 0.000, 0.000)
Cu (0.500, 0.500, 0.500)
H (0.202, 0.202, 0.637)
Br (0.176, 0.676, 0.187)
Br (0.250, 0.250, 0.414)
Br (0.325, 0.824, 0.816)
Br (0.676, 0.176, 0.187)
Br (0.824, 0.325, 0.816)

Calculated values
E_tot, eV for the cell shown: -21.64


(2)
A geometry-optimized CuH2Br structure, computed with PBE.

Cell: 4.103 6.406 4.106 Å, 90.00 119.96 90.00°
Atoms (fractional coordinates):
Cu (0.000, 0.000, 0.000)
H (0.054, 0.500, 0.940)
H (0.964, 0.500, 0.062)
Br (0.333, 0.000, 0.666)

Calculated values
Distance to the lowest polymorph of the same formula, meV/atom: 0


(3)
A geometry-optimized Cu2HBr structure, computed with PBE.

Cell: 5.944 5.944 5.944 Å, 131.92 131.92 70.36°
Atoms (fractional coordinates):
Cu (0.375, 0.237, 0.362)
Cu (0.763, 0.125, 0.138)
Cu (0.875, 0.013, 0.638)
Cu (0.987, 0.625, 0.862)
H (0.000, 0.000, 0.000)
H (0.750, 0.250, 0.500)
Br (0.250, 0.750, 0.500)
Br (0.500, 0.500, 0.000)

Calculated values
Distance to the lowest polymorph of the same formula, meV/atom: 0


(4)
A geometry-optimized CuH2Br structure, computed with PBE.

Cell: 3.955 3.955 3.955 Å, 60.00 60.00 60.00°
Atoms (fractional coordinates):
Cu (0.000, 0.000, 0.000)
H (0.250, 0.250, 0.250)
H (0.750, 0.750, 0.750)
Br (0.500, 0.500, 0.500)

Calculated values
Distance to the lowest polymorph of the same formula, meV/atom: 1194


(5)
A geometry-optimized CuHBr2 structure, computed with PBE.

Cell: 4.678 4.678 4.678 Å, 60.00 60.00 60.00°
Atoms (fractional coordinates):
Cu (0.000, 0.000, 0.000)
H (0.500, 0.500, 0.500)
Br (0.250, 0.250, 0.250)
Br (0.750, 0.750, 0.750)

Calculated values
Distance to the lowest polymorph of the same formula, meV/atom: 897


(6)
A geometry-optimized Cu2HBr structure, computed with PBE.

Cell: 4.282 4.282 4.282 Å, 60.00 60.00 60.00°
Atoms (fractional coordinates):
Cu (0.250, 0.250, 0.250)
Cu (0.750, 0.750, 0.750)
H (0.000, 0.000, 0.000)
Br (0.500, 0.500, 0.500)

Calculated values
Distance to the lowest polymorph of the same formula, meV/atom: 637


Repeat the sixth record exactly.
A geometry-optimized Cu2HBr structure, computed with PBE.

Cell: 4.282 4.282 4.282 Å, 60.00 60.00 60.00°
Atoms (fractional coordinates):
Cu (0.250, 0.250, 0.250)
Cu (0.750, 0.750, 0.750)
H (0.000, 0.000, 0.000)
Br (0.500, 0.500, 0.500)

Calculated values
Distance to the lowest polymorph of the same formula, meV/atom: 637